(1)
{
  "formula": "Sm5Sn4",
  "functional": "GGA-PBE",
  "state": "optimized geometry",
  "spacegroup": "Pnma",
  "energy_ev_per_atom": -5.1612,
  "volume_a3_per_cell": 1077,
  "cell": [[8.1954, 0.0000, 0.0000], [0.0000, 15.7574, 0.0000], [0.0000, 0.0000, 8.3406]],
  "species": ["Sm", "Sm", "Sm", "Sm", "Sm", "Sm", "Sm", "Sm", "Sm", "Sm", "Sm", "Sm", "Sm", "Sm", "Sm", "Sm", "Sm", "Sm", "Sm", "Sm", "Sn", "Sn", "Sn", "Sn", "Sn", "Sn", "Sn", "Sn", "Sn", "Sn", "Sn", "Sn", "Sn", "Sn", "Sn", "Sn"],
  "frac_coords": [[0.0178, 0.0981, 0.1796], [0.0178, 0.4019, 0.1796], [0.1328, 0.6212, 0.3369], [0.1328, 0.8788, 0.3369], [0.1985, 0.2500, 0.5021], [0.3015, 0.7500, 0.0021], [0.3672, 0.1212, 0.8369], [0.3672, 0.3788, 0.8369], [0.4822, 0.5981, 0.6796], [0.4822, 0.9019, 0.6796], [0.5178, 0.0981, 0.3204], [0.5178, 0.4019, 0.3204], [0.6328, 0.6212, 0.1631], [0.6328, 0.8788, 0.1631], [0.6985, 0.2500, 0.9979], [0.8015, 0.7500, 0.4979], [0.8672, 0.1212, 0.6631], [0.8672, 0.3788, 0.6631], [0.9822, 0.5981, 0.8204], [0.9822, 0.9019, 0.8204], [0.0659, 0.2500, 0.8844], [0.1750, 0.7500, 0.6441], [0.2072, 0.0417, 0.5365], [0.2072, 0.4583, 0.5365], [0.2928, 0.5417, 0.0365], [0.2928, 0.9583, 0.0365], [0.3250, 0.2500, 0.1441], [0.4341, 0.7500, 0.3844], [0.5659, 0.2500, 0.6156], [0.6750, 0.7500, 0.8559], [0.7072, 0.0417, 0.9635], [0.7072, 0.4583, 0.9635], [0.7928, 0.5417, 0.4635], [0.7928, 0.9583, 0.4635], [0.8250, 0.2500, 0.3559], [0.9341, 0.7500, 0.1156]]
}

(2)
{
  "formula": "Lu2CoPt",
  "functional": "GGA-PBE",
  "state": "optimized geometry",
  "spacegroup": "F-43m",
  "energy_ev_per_atom": -5.8518,
  "volume_a3_per_cell": 286,
  "formation_energy_ev_per_atom": -0.299,
  "cell": [[6.5894, 0.0000, 0.0000], [0.0000, 6.5894, 0.0000], [0.0000, 0.0000, 6.5894]],
  "species": ["Lu", "Lu", "Lu", "Lu", "Lu", "Lu", "Lu", "Lu", "Co", "Co", "Co", "Co", "Pt", "Pt", "Pt", "Pt"],
  "frac_coords": [[0.0000, 0.0000, 0.0000], [0.0000, 0.5000, 0.5000], [0.2500, 0.2500, 0.2500], [0.2500, 0.7500, 0.7500], [0.5000, 0.0000, 0.5000], [0.5000, 0.5000, 0.0000], [0.7500, 0.2500, 0.7500], [0.7500, 0.7500, 0.2500], [0.2500, 0.2500, 0.7500], [0.2500, 0.7500, 0.2500], [0.7500, 0.2500, 0.2500], [0.7500, 0.7500, 0.7500], [0.0000, 0.0000, 0.5000], [0.0000, 0.5000, 0.0000], [0.5000, 0.0000, 0.0000], [0.5000, 0.5000, 0.5000]]
}

(3)
{
  "formula": "NdPd2",
  "functional": "GGA-PBE",
  "state": "optimized geometry",
  "spacegroup": "Fm-3m",
  "energy_ev_per_atom": -5.2831,
  "volume_a3_per_cell": 292,
  "formation_energy_ev_per_atom": -0.245,
  "cell": [[6.6354, 0.0000, 0.0000], [0.0000, 6.6354, 0.0000], [0.0000, 0.0000, 6.6354]],
  "species": ["Nd", "Nd", "Nd", "Nd", "Pd", "Pd", "Pd", "Pd", "Pd", "Pd", "Pd", "Pd"],
  "frac_coords": [[0.0000, 0.0000, 0.0000], [0.0000, 0.5000, 0.5000], [0.5000, 0.0000, 0.5000], [0.5000, 0.5000, 0.0000], [0.2500, 0.2500, 0.2500], [0.2500, 0.2500, 0.7500], [0.2500, 0.7500, 0.2500], [0.2500, 0.7500, 0.7500], [0.7500, 0.2500, 0.2500], [0.7500, 0.2500, 0.7500], [0.7500, 0.7500, 0.2500], [0.7500, 0.7500, 0.7500]]
}